No. 1
{
  "formula": "RbSrLiI4",
  "functional": "PBE",
  "state": "relaxed",
  "cell": [[7.8018, 0.0000, 0.0000], [0.0000, 8.1853, 0.0000], [-3.1657, 0.0000, 9.5292]],
  "species": ["Rb", "Rb", "Sr", "Sr", "Li", "Li", "I", "I", "I", "I", "I", "I", "I", "I"],
  "frac_coords": [[0.2443, 0.2500, 0.0558], [0.7557, 0.7500, 0.9442], [0.2216, 0.2500, 0.5537], [0.7784, 0.7500, 0.4463], [0.2353, 0.7500, 0.3225], [0.7647, 0.2500, 0.6775], [0.0100, 0.5030, 0.7183], [0.0100, 0.9970, 0.7183], [0.4372, 0.7500, 0.1468], [0.4557, 0.7500, 0.5905], [0.5443, 0.2500, 0.4095], [0.5628, 0.2500, 0.8532], [0.9900, 0.0030, 0.2817], [0.9900, 0.4970, 0.2817]],
  "e_form_raw_ev_per_atom": -1.4867,
  "crystal_system": "monoclinic"
}

---

No. 2
{
  "formula": "Rb2PuAs2O6",
  "functional": "PBE",
  "state": "relaxed",
  "cell": [[5.2309, -3.0217, 0.0000], [5.2309, 3.0217, 0.0000], [-1.0935, 0.0000, 7.2465]],
  "species": ["Rb", "Rb", "Pu", "As", "As", "O", "O", "O", "O", "O", "O"],
  "frac_coords": [[0.1882, 0.1882, 0.2119], [0.8118, 0.8118, 0.7881], [0.5000, 0.5000, 0.0000], [0.1379, 0.1379, 0.7205], [0.8621, 0.8621, 0.2795], [0.1563, 0.6957, 0.1666], [0.3043, 0.8437, 0.8334], [0.3046, 0.3046, 0.8283], [0.6954, 0.6954, 0.1717], [0.6957, 0.1563, 0.1666], [0.8437, 0.3043, 0.8334]],
  "e_form_raw_ev_per_atom": -1.9015,
  "crystal_system": "monoclinic"
}

---

No. 3
{
  "formula": "Y5Mo",
  "functional": "PBE",
  "state": "relaxed",
  "cell": [[6.3459, -1.8855, 0.0000], [6.3459, 1.8855, 0.0000], [-2.3439, 0.0000, 7.2488]],
  "species": ["Y", "Y", "Y", "Y", "Y", "Mo"],
  "frac_coords": [[0.0000, 0.0000, 0.0000], [0.0023, 0.0023, 0.5809], [0.3512, 0.3512, 0.2440], [0.6828, 0.6828, 0.4069], [0.7218, 0.7218, 0.8547], [0.3463, 0.3463, 0.6632]],
  "delta_e_f_ev_per_atom": 0.186,
  "relative_energy_mev_per_atom": 0,
  "crystal_system": "monoclinic"
}

---

No. 4
{
  "formula": "Be3GaO",
  "functional": "PBE",
  "state": "relaxed",
  "cell": [[3.6323, 0.0000, 0.0000], [0.0000, 3.6323, 0.0000], [0.0000, 0.0000, 3.6323]],
  "species": ["Be", "Be", "Be", "Ga", "O"],
  "frac_coords": [[0.0000, 0.0000, 0.5000], [0.0000, 0.5000, 0.0000], [0.5000, 0.0000, 0.0000], [0.5000, 0.5000, 0.5000], [0.0000, 0.0000, 0.0000]],
  "e_form_raw_ev_per_atom": -0.2910,
  "relative_energy_mev_per_atom": 0,
  "crystal_system": "cubic"
}

---

No. 5
{
  "formula": "CaEr2Pd2",
  "functional": "PBE",
  "state": "relaxed",
  "cell": [[4.9406, 0.0000, 0.0000], [-2.4626, 4.2934, 0.0000], [-0.0053, -0.0153, 5.8942]],
  "species": ["Ca", "Er", "Er", "Pd", "Pd"],
  "frac_coords": [[0.0000, 0.0000, 0.0000], [0.3334, 0.6671, 0.3277], [0.6666, 0.3329, 0.6723], [0.3336, 0.6666, 0.8140], [0.6664, 0.3334, 0.1860]],
  "delta_e_f_ev_per_atom": -0.642,
  "relative_energy_mev_per_atom": 73,
  "crystal_system": "triclinic"
}

---

No. 6
{
  "formula": "AcPrGdSc",
  "functional": "PBE",
  "state": "relaxed",
  "cell": [[0.0000, 4.0991, 4.0991], [4.0991, 0.0000, 4.0991], [4.0991, 4.0991, 0.0000]],
  "species": ["Ac", "Pr", "Gd", "Sc"],
  "frac_coords": [[0.0000, 0.0000, 0.0000], [0.7500, 0.7500, 0.7500], [0.2500, 0.2500, 0.2500], [0.5000, 0.5000, 0.5000]],
  "delta_e_f_ev_per_atom": 0.180,
  "crystal_system": "cubic"
}

---

No. 7
{
  "formula": "Sc5Ni4Ir",
  "functional": "PBE",
  "state": "relaxed",
  "cell": [[3.1368, 0.0000, 0.0000], [0.0000, 3.1368, 0.0000], [0.0000, 0.0000, 16.3856]],
  "species": ["Sc", "Sc", "Sc", "Sc", "Sc", "Ni", "Ni", "Ni", "Ni", "Ir"],
  "frac_coords": [[0.0000, 0.0000, 0.0000], [0.0000, 0.0000, 0.1977], [0.0000, 0.0000, 0.3968], [0.0000, 0.0000, 0.6032], [0.0000, 0.0000, 0.8023], [0.5000, 0.5000, 0.0987], [0.5000, 0.5000, 0.2963], [0.5000, 0.5000, 0.7037], [0.5000, 0.5000, 0.9013], [0.5000, 0.5000, 0.5000]],
  "delta_e_f_ev_per_atom": -0.607,
  "crystal_system": "tetragonal"
}

---

No. 8
{
  "formula": "KAg2HF6",
  "functional": "PBE",
  "state": "relaxed",
  "cell": [[5.9539, -5.0690, 0.0000], [5.9539, 5.0690, 0.0000], [-2.9188, 0.0000, 5.3916]],
  "species": ["K", "K", "Ag", "Ag", "Ag", "Ag", "H", "H", "F", "F", "F", "F", "F", "F", "F", "F", "F", "F", "F", "F"],
  "frac_coords": [[0.1838, 0.8162, 0.7500], [0.8162, 0.1838, 0.2500], [0.1928, 0.3449, 0.9439], [0.3449, 0.1928, 0.4439], [0.6551, 0.8072, 0.5561], [0.8072, 0.6551, 0.0561], [0.2861, 0.7139, 0.2500], [0.7139, 0.2861, 0.7500], [0.1105, 0.1858, 0.1117], [0.1854, 0.6159, 0.2397], [0.1858, 0.1105, 0.6117], [0.2479, 0.4771, 0.7432], [0.3841, 0.8146, 0.2603], [0.4771, 0.2479, 0.2432], [0.5229, 0.7521, 0.7568], [0.6159, 0.1854, 0.7397], [0.7521, 0.5229, 0.2568], [0.8142, 0.8895, 0.3883], [0.8146, 0.3841, 0.7603], [0.8895, 0.8142, 0.8883]],
  "e_tot_ev_per_cell": -73.96,
  "crystal_system": "monoclinic"
}

---

No. 9
{
  "formula": "BeCrRu2",
  "functional": "PBE",
  "state": "relaxed",
  "cell": [[2.6835, 0.0000, 0.0000], [0.0000, 3.7384, 0.0000], [0.0000, 0.0000, 4.8884]],
  "species": ["Be", "Cr", "Ru", "Ru"],
  "frac_coords": [[0.0000, 0.0000, 0.0000], [0.5000, 0.5000, 0.2412], [0.0000, 0.0000, 0.4885], [0.5000, 0.5000, 0.7924]],
  "delta_e_f_ev_per_atom": -0.025,
  "crystal_system": "orthorhombic"
}

---

No. 10
{
  "formula": "TaOsS2N",
  "functional": "PBE",
  "state": "relaxed",
  "cell": [[4.8737, 0.0000, 0.0000], [0.0000, 4.8737, 0.0000], [0.0000, 0.0000, 3.8639]],
  "species": ["Ta", "Os", "S", "S", "N"],
  "frac_coords": [[0.0000, 0.0000, 0.0000], [0.5000, 0.5000, 0.5000], [0.0000, 0.5000, 0.0000], [0.5000, 0.0000, 0.0000], [0.0000, 0.0000, 0.5000]],
  "e_form_raw_ev_per_atom": 0.9233,
  "relative_energy_mev_per_atom": 196,
  "crystal_system": "tetragonal"
}

---

No. 11
{
  "formula": "Pm8P3Se4Cl",
  "functional": "PBE",
  "state": "relaxed",
  "cell": [[4.1512, 2.3967, 6.8438], [-4.1512, 2.3967, 6.8438], [0.0000, -4.7934, 6.8438]],
  "species": ["Pm", "Pm", "Pm", "Pm", "Pm", "Pm", "Pm", "Pm", "P", "P", "P", "Se", "Se", "Se", "Se", "Cl"],
  "frac_coords": [[0.2279, 0.7540, 0.7540], [0.2429, 0.2429, 0.2429], [0.2460, 0.2460, 0.7721], [0.2460, 0.7721, 0.2460], [0.7540, 0.2279, 0.7540], [0.7540, 0.7540, 0.2279], [0.7571, 0.7571, 0.7571], [0.7721, 0.2460, 0.2460], [0.0000, 0.0000, 0.5000], [0.0000, 0.5000, 0.0000], [0.5000, 0.0000, 0.0000], [0.0000, 0.0000, 0.0000], [0.0000, 0.5000, 0.5000], [0.5000, 0.0000, 0.5000], [0.5000, 0.5000, 0.0000], [0.5000, 0.5000, 0.5000]],
  "e_form_raw_ev_per_atom": -1.7550,
  "crystal_system": "trigonal"
}

---

No. 12
{
  "formula": "AcSmAs",
  "functional": "PBE",
  "state": "relaxed",
  "cell": [[2.5666, 1.4818, 8.3845], [-2.5666, 1.4818, 8.3845], [0.0000, -2.9637, 8.3845]],
  "species": ["Ac", "Ac", "Sm", "Sm", "As", "As"],
  "frac_coords": [[0.1241, 0.1241, 0.1241], [0.8759, 0.8759, 0.8759], [0.3745, 0.3745, 0.3745], [0.6255, 0.6255, 0.6255], [0.2569, 0.2569, 0.2569], [0.7431, 0.7431, 0.7431]],
  "delta_e_f_ev_per_atom": -0.724,
  "relative_energy_mev_per_atom": 0,
  "crystal_system": "trigonal"
}

---

Number 1: DOS(E_F) 0.0 states/eV per cell. Number 2: DOS(E_F) 6.4 states/eV per cell. Number 3: DOS(E_F) 7.6 states/eV per cell. Number 4: DOS(E_F) 2.2 states/eV per cell. Number 5: DOS(E_F) 3.2 states/eV per cell. Number 6: DOS(E_F) 8.5 states/eV per cell. Number 7: DOS(E_F) 6.5 states/eV per cell. Number 8: DOS(E_F) 0.7 states/eV per cell. Number 9: DOS(E_F) 3.2 states/eV per cell. Number 10: DOS(E_F) 4.7 states/eV per cell. Number 11: DOS(E_F) 6.5 states/eV per cell. Number 12: DOS(E_F) 5.0 states/eV per cell.